# 1
# PmSm3Dy6, relaxed, DFT PBE
# Excess energy over the best structure of this formula in the dataset, eV/f.u.: 0.00
# Size of the total moment, μB per cell: 0.0
# V, Å³ per atom: 32.93
data_PmSm3Dy6
_chemical_formula_sum 'Pm4 Sm12 Dy24'
_cell_length_a 11.0448
_cell_length_b 18.9933
_cell_length_c 6.2794
_cell_angle_alpha 90.00
_cell_angle_beta 90.00
_cell_angle_gamma 90.00
_space_group_name_H-M_alt 'C m c 21'
_space_group_IT_number 36
_space_group_name_Hall 'C 2c -2'
loop_
_atom_site_label
_atom_site_fract_x
_atom_site_fract_y
_atom_site_fract_z
Pm1 0.0000 0.2009 0.0000
Sm1 0.0000 0.3891 0.9349
Sm2 0.1736 0.1117 0.3256
Dy1 0.0000 0.0426 0.7576
Dy2 0.0000 0.2780 0.5079
Dy3 0.1654 0.4540 0.4055
Dy4 0.2446 0.2899 0.2352

=====

# 2
# Pm6SmDy12, relaxed, DFT PBE
# Excess energy over the best structure of this formula in the dataset, eV/f.u.: 0.00
# Size of the total moment, μB per cell: 0.0
# V, Å³ per atom: 32.83
data_Pm6SmDy12
_chemical_formula_sum 'Pm18 Sm3 Dy36'
_cell_length_a 11.1148
_cell_length_b 11.1148
_cell_length_c 17.4932
_cell_angle_alpha 90.00
_cell_angle_beta 90.00
_cell_angle_gamma 120.00
_space_group_name_H-M_alt 'R -3 m'
_space_group_IT_number 166
_space_group_name_Hall '-R 3 2"'
loop_
_atom_site_label
_atom_site_fract_x
_atom_site_fract_y
_atom_site_fract_z
Pm1 0.0706 0.5353 0.2654
Sm1 0.0000 0.0000 0.5000
Dy1 0.1022 0.5511 0.9142
Dy2 0.1064 0.2127 0.9094

=====

# 3
# Pm6SmDy2, relaxed, DFT PBE
# Excess energy over the best structure of this formula in the dataset, eV/f.u.: 0.00
# Size of the total moment, μB per cell: 0.0
# V, Å³ per atom: 33.69
data_Pm6SmDy2
_chemical_formula_sum 'Pm6 Sm1 Dy2'
_cell_length_a 3.6288
_cell_length_b 8.8813
_cell_length_c 9.5798
_cell_angle_alpha 90.24
_cell_angle_beta 100.89
_cell_angle_gamma 90.12
_space_group_name_H-M_alt 'P -1'
_space_group_IT_number 2
_space_group_name_Hall '-P 1'
loop_
_atom_site_label
_atom_site_fract_x
_atom_site_fract_y
_atom_site_fract_z
Pm1 0.1093 0.1651 0.2194
Pm2 0.2217 0.8342 0.4423
Pm3 0.3336 0.5007 0.6679
Sm1 0.0000 0.5000 0.0000
Dy1 0.4445 0.1669 0.8898

=====

# 4
# Pm2Sm5Dy2, relaxed, DFT PBE
# Excess energy over the best structure of this formula in the dataset, eV/f.u.: 0.97
# Size of the total moment, μB per cell: 0.0
# V, Å³ per atom: 33.81
data_Pm2Sm5Dy2
_chemical_formula_sum 'Pm8 Sm20 Dy8'
_cell_length_a 14.9701
_cell_length_b 11.9109
_cell_length_c 6.8260
_cell_angle_alpha 90.00
_cell_angle_beta 90.00
_cell_angle_gamma 90.00
_space_group_name_H-M_alt 'I m a 2'
_space_group_IT_number 46
_space_group_name_Hall 'I 2 -2a'
loop_
_atom_site_label
_atom_site_fract_x
_atom_site_fract_y
_atom_site_fract_z
Pm1 0.1266 0.0024 0.0000
Sm1 0.0523 0.7486 0.3499
Sm2 0.1433 0.2350 0.6767
Sm3 0.2500 0.7431 0.6507
Dy1 0.0000 0.0000 0.5298
Dy2 0.2500 0.0088 0.4573